1.
A plane-wave DFT calculation with PBE was carried out for a relaxed PmNdAgAu crystal.

POSCAR file:
```
PmNdAgAu
1.0
-3.730 -0.410 -3.688
-1.943 -4.724 -1.263
-4.920 -1.271 1.364
Au Ag Pm Nd
1 1 1 1
Cartesian
-2.648 -1.601 -0.897
-7.945 -4.804 -2.690
0.000 0.000 0.000
-5.297 -3.203 -1.793
```

***

2.
A plane-wave DFT calculation with PBE was carried out for a relaxed PrNdAgAu crystal.

POSCAR file:
```
PrNdAgAu
1.0
-3.621 -2.725 -2.744
0.741 -5.155 -0.972
-3.005 -3.615 2.443
Nd Ag Au Pr
1 1 1 1
Cartesian
-2.943 -5.747 -0.637
-1.472 -2.874 -0.318
-4.415 -8.621 -0.955
0.000 0.000 0.000
```

***

3.
A plane-wave DFT calculation with PBE was carried out for a relaxed PrNdAgAu crystal.

POSCAR file:
```
PrNdAgAu
1.0
-1.469 3.394 -1.345
-3.585 -2.426 -2.207
-2.460 -1.227 5.346
Pr Nd Ag Au
1 1 1 1
Cartesian
-4.829 0.823 1.591
-0.887 0.130 1.298
-2.681 0.394 3.921
-3.046 0.560 -1.017
```

***

4.
A plane-wave DFT calculation with PBE was carried out for a relaxed NdAgPtAu crystal.

POSCAR file:
```
NdAgPtAu
1.0
-0.887 4.716 -1.137
-4.612 1.740 0.123
-1.344 3.175 3.525
Pt Ag Nd Au
1 1 1 1
Cartesian
-5.133 7.223 1.884
-3.422 4.816 1.256
0.000 0.000 0.000
-1.711 2.408 0.628
```

***

What did we get for ΔE_f? Answer: -516, -500, -518, -572 meV per atom, in the order shown.